A geometry-optimized RbFe3Se structure. Source: the Alexandria database, functional PBE.

```
RbFe3Se
1.0
4.665 0.000 0.000
0.000 4.665 0.000
0.000 0.000 4.665
Rb Fe Se
1 3 1
direct
0.000 0.000 0.000 Rb
0.000 0.500 0.500 Fe
0.500 0.000 0.500 Fe
0.500 0.500 0.000 Fe
0.500 0.500 0.500 Se
```

Properties
Total magnetization = 1.402 μB/atom
Energy relative to the elements, uncorrected = 4.31 eV/f.u.
Energy above the most stable polymorph in this dataset = 0 meV/atom
Uncorrected energy = -25.53 eV for the cell shown
DOS at the Fermi energy = 0.380 states/eV per atom